Arrangement w

DFT (PBE-GGA) results for an optimized crystal structure of Ac2TcAg.

Lattice parameters (Å, degrees): 3.6473 3.6473 10.6869 80.17 80.17 60.00
Closest atoms and distances in Å follow each position.
Atoms (fractional coordinates):
Ac (0.0841, 0.0841, 0.7476)  1 Tc 2.64
Ac (0.9159, 0.9159, 0.2524)  1 Tc 2.64
Ag (0.5000, 0.5000, 0.5000)  6 Ac 3.34, 6 Ag 3.65
Tc (0.0000, 0.0000, 0.0000)  2 Ac 2.64

- D(E_F) (states/eV/atom) = 0.903
- volume (Å³/f.u.) = 120.71

***

Arrangement x

DFT (PBE-GGA) results for an optimized crystal structure of Ac2TcAg.

Lattice parameters (Å, degrees): 3.7366 3.7366 8.0790 90.00 90.00 90.00
Closest atoms and distances in Å follow each position.
Atoms (fractional coordinates):
Ag (0.5000, 0.5000, 0.5000)  8 Ac 3.45, 4 Ag 3.74
Tc (0.5000, 0.5000, 0.0000)  8 Ac 3.20
Ac (0.0000, 0.0000, 0.7755)  4 Tc 3.20, 4 Ag 3.45
Ac (0.0000, 0.0000, 0.2245)  4 Tc 3.20, 4 Ag 3.45

- D(E_F) (states/eV/atom) = 0.450
- volume (Å³/f.u.) = 112.80

***

The structure with the least stability is arrangement w.

***

Arrangement w

DFT (PBE-GGA) results for an optimized crystal structure of AcThAg2.

Lattice parameters (Å, degrees): 5.4410 5.4410 5.4410 60.00 60.00 60.00
Closest atoms and distances in Å follow each position.
Atoms (fractional coordinates):
Th (0.0000, 0.0000, 0.0000)  8 Ag 3.33
Ag (0.7500, 0.7500, 0.7500)  4 Ac 3.33, 4 Th 3.33
Ag (0.2500, 0.2500, 0.2500)  4 Th 3.33, 4 Ac 3.33
Ac (0.5000, 0.5000, 0.5000)  8 Ag 3.33

- D(E_F) (states/eV/atom) = 0.898
- volume (Å³/f.u.) = 113.90

***

Arrangement x

DFT (PBE-GGA) results for an optimized crystal structure of AcThAg2.

Lattice parameters (Å, degrees): 3.7742 3.7742 7.9898 90.00 90.00 90.00
Closest atoms and distances in Å follow each position.
Atoms (fractional coordinates):
Ac (0.5000, 0.5000, 0.5000)  8 Ag 3.41, 4 Ac 3.77
Th (0.5000, 0.5000, 0.0000)  8 Ag 3.26
Ag (0.0000, 0.0000, 0.2336)  4 Th 3.26, 4 Ac 3.41
Ag (0.0000, 0.0000, 0.7664)  4 Th 3.26, 4 Ac 3.41

- D(E_F) (states/eV/atom) = 0.924
- volume (Å³/f.u.) = 113.81

***

The structure with the least stability is arrangement w.

***

Arrangement w

DFT (PBE-GGA) results for an optimized crystal structure of AcTlAg.

Lattice parameters (Å, degrees): 5.1516 5.1516 5.1516 60.00 60.00 60.00
Closest atoms and distances in Å follow each position.
Atoms (fractional coordinates):
Ag (0.2500, 0.2500, 0.2500)  4 Tl 3.15, 4 Ac 3.15
Tl (0.0000, 0.0000, 0.0000)  4 Ag 3.15
Ac (0.5000, 0.5000, 0.5000)  4 Ag 3.15

- D(E_F) (states/eV/atom) = 1.486
- volume (Å³/f.u.) = 96.68

***

Arrangement x

DFT (PBE-GGA) results for an optimized crystal structure of AcTlAg.

Lattice parameters (Å, degrees): 3.8854 3.8854 6.4556 107.51 107.51 90.00
Closest atoms and distances in Å follow each position.
Atoms (fractional coordinates):
Ag (0.2975, 0.2975, 0.5949)  4 Tl 3.14, 4 Ac 3.41
Ac (0.6245, 0.6245, 0.2490)  4 Ag 3.41, 5 Tl 3.55-3.58
Tl (0.9280, 0.9280, 0.8561)  4 Ag 3.14

- D(E_F) (states/eV/atom) = 0.894
- volume (Å³/f.u.) = 88.19

***

The structure with the least stability is arrangement x.

***

Arrangement w

DFT (PBE-GGA) results for an optimized crystal structure of AcTlAg.

Lattice parameters (Å, degrees): 3.8825 5.1179 5.1179 120.00 90.00 90.00
Closest atoms and distances in Å follow each position.
Atoms (fractional coordinates):
Ag (0.1662, 0.6667, 0.3333)  3 Tl 2.95
Tl (0.1671, 0.0000, 0.0000)  3 Ag 2.95
Ac (0.6667, 0.3333, 0.6667)  6 Ag 3.53-3.54, 6 Tl 3.53-3.54, 2 Ac 3.88

- D(E_F) (states/eV/atom) = 0.651
- volume (Å³/f.u.) = 88.07

***

Arrangement x

DFT (PBE-GGA) results for an optimized crystal structure of AcTlAg.

Lattice parameters (Å, degrees): 4.4511 4.4511 10.2118 106.34 106.34 84.38
Closest atoms and distances in Å follow each position.
Atoms (fractional coordinates):
Tl (0.6619, 0.6619, 0.9212)  1 Ag 3.12, 3 Tl 3.13-3.38
Tl (0.3381, 0.3381, 0.0788)  1 Ag 3.12, 3 Tl 3.13-3.38
Ac (0.0093, 0.0093, 0.2821)  4 Ag 3.21-3.36, 4 Tl 3.52-3.57
Ac (0.9907, 0.9907, 0.7179)  4 Ag 3.21-3.36, 4 Tl 3.52-3.57
Ag (0.3963, 0.3963, 0.5952)  1 Ag 2.77
Ag (0.6037, 0.6037, 0.4048)  1 Ag 2.77

- D(E_F) (states/eV/atom) = 0.528
- volume (Å³/f.u.) = 93.13

***

Arrangement y

DFT (PBE-GGA) results for an optimized crystal structure of AcTlAg.

Lattice parameters (Å, degrees): 5.0252 6.3028 6.5890 77.07 67.58 66.51
Closest atoms and distances in Å follow each position.
Atoms (fractional coordinates):
Ac (0.5358, 0.2215, 0.7070)  6 Ag 3.42-3.82, 6 Tl 3.45-3.72
Ac (0.4642, 0.7785, 0.2930)  6 Ag 3.42-3.82, 6 Tl 3.45-3.72
Tl (0.1699, 0.7715, 0.8886)  3 Ag 2.93-3.26, 1 Tl 3.07
Tl (0.8301, 0.2285, 0.1114)  3 Ag 2.93-3.26, 1 Tl 3.07
Ag (0.1592, 0.3768, 0.3048)  1 Ag 2.87, 2 Tl 2.93
Ag (0.8408, 0.6232, 0.6952)  1 Ag 2.87, 2 Tl 2.93

- D(E_F) (states/eV/atom) = 0.784
- volume (Å³/f.u.) = 88.15

***

The structure with the least stability is arrangement x.

***

Arrangement w

DFT (PBE-GGA) results for an optimized crystal structure of Ac3Tl4Ag4.

Lattice parameters (Å, degrees): 4.8588 7.8822 9.3713 114.87 105.02 90.00
Closest atoms and distances in Å follow each position.
Atoms (fractional coordinates):
Tl (0.2175, 0.7175, 0.4350)  6 Ag 2.96-3.10
Tl (0.7825, 0.2825, 0.5650)  6 Ag 2.96-3.10
Tl (0.5000, 0.8108, 0.0000)  2 Ag 2.89, 1 Tl 2.98
Tl (0.5000, 0.1892, 0.0000)  2 Ag 2.89, 1 Tl 2.98
Ac (0.1340, 0.1340, 0.2680)  6 Tl 3.43-3.59, 6 Ag 3.50-3.56
Ac (0.8660, 0.8660, 0.7320)  6 Tl 3.43-3.59, 6 Ag 3.50-3.56
Ac (0.0000, 0.5000, 0.0000)  6 Tl 3.45-3.54
Ag (0.6669, 0.8543, 0.3339)  4 Tl 2.89-3.10, 1 Ag 2.95
Ag (0.6669, 0.4796, 0.3339)  4 Tl 2.89-3.10, 1 Ag 2.95
Ag (0.3331, 0.1457, 0.6661)  4 Tl 2.89-3.10, 1 Ag 2.95
Ag (0.3331, 0.5204, 0.6661)  4 Tl 2.89-3.10, 1 Ag 2.95

- D(E_F) (states/eV/atom) = 1.161
- volume (Å³/f.u.) = 312.05

***

Arrangement x

DFT (PBE-GGA) results for an optimized crystal structure of Ac3Tl4Ag4.

Lattice parameters (Å, degrees): 3.9990 5.0502 15.8466 80.92 82.68 90.00
Closest atoms and distances in Å follow each position.
Atoms (fractional coordinates):
Tl (0.2602, 0.2607, 0.4795)  4 Ag 3.03-3.06, 4 Tl 3.28-3.29
Tl (0.7399, 0.7393, 0.5205)  4 Ag 3.03-3.06, 4 Tl 3.28-3.29
Tl (0.4083, 0.9067, 0.1869)  3 Ag 2.87-2.93
Tl (0.5917, 0.0933, 0.8132)  3 Ag 2.87-2.93
Ac (0.1401, 0.6413, 0.7165)  6 Ag 3.50-3.59, 6 Tl 3.55-3.64
Ac (0.8599, 0.3588, 0.2835)  6 Ag 3.50-3.59, 6 Tl 3.55-3.64
Ac (0.0000, 0.0000, 0.0000)  4 Tl 3.52-3.53, 8 Ag 3.52
Ag (0.6838, 0.1852, 0.6282)  5 Tl 2.87-3.06
Ag (0.3163, 0.8149, 0.3717)  5 Tl 2.87-3.06
Ag (0.4541, 0.4540, 0.0916)  1 Ag 2.84, 2 Tl 2.93
Ag (0.5459, 0.5459, 0.9085)  1 Ag 2.84, 2 Tl 2.93

- D(E_F) (states/eV/atom) = 0.721
- volume (Å³/f.u.) = 313.38

***

The structure with the least stability is arrangement w.

***

Arrangement w

DFT (PBE-GGA) results for an optimized crystal structure of Ac4TlAg3.

Lattice parameters (Å, degrees): 5.6663 5.6663 9.8172 73.23 73.23 60.00
Closest atoms and distances in Å follow each position.
Atoms (fractional coordinates):
Ac (0.8721, 0.8721, 0.3836)  7 Ag 3.44-3.52, 1 Tl 3.55
Ac (0.6213, 0.6213, 0.1360)  5 Ag 3.37-3.51, 3 Tl 3.51
Ac (0.1279, 0.1279, 0.6164)  7 Ag 3.44-3.52, 1 Tl 3.55
Ac (0.3787, 0.3787, 0.8640)  5 Ag 3.37-3.51, 3 Tl 3.51
Tl (0.0000, 0.0000, 0.0000)  8 Ac 3.51-3.55
Ag (0.5000, 0.5000, 0.5000)  8 Ac 3.37-3.44
Ag (0.7477, 0.7477, 0.7569)  8 Ac 3.42-3.52
Ag (0.2523, 0.2523, 0.2431)  8 Ac 3.42-3.52

- D(E_F) (states/eV/atom) = 0.808
- volume (Å³/f.u.) = 257.37

***

Arrangement x

DFT (PBE-GGA) results for an optimized crystal structure of Ac4TlAg3.

Lattice parameters (Å, degrees): 4.2393 5.0929 12.2339 90.00 90.00 90.00
Closest atoms and distances in Å follow each position.
Atoms (fractional coordinates):
Ac (0.0000, 0.0000, 0.1505)  3 Ag 3.41-3.53, 4 Tl 3.43
Ac (0.5000, 0.5000, 0.3632)  6 Ag 3.33-3.41, 1 Tl 3.51
Ac (0.0000, 0.5000, 0.8475)  5 Ag 3.35-3.43, 2 Tl 3.51
Ac (0.5000, 0.0000, 0.6403)  7 Ag 3.34-3.42
Ag (0.0000, 0.0000, 0.4290)  2 Ag 3.10, 7 Ac 3.34-3.41
Ag (0.5000, 0.0000, 0.9195)  2 Tl 3.19, 7 Ac 3.42-3.53
Ag (0.0000, 0.5000, 0.5733)  2 Ag 3.10, 7 Ac 3.33-3.41
Tl (0.5000, 0.5000, 0.0766)  2 Ag 3.19, 7 Ac 3.43-3.51

- D(E_F) (states/eV/atom) = 1.055
- volume (Å³/f.u.) = 264.13

***

The structure with the least stability is arrangement x.